<one>
A plane-wave DFT calculation with PBE was carried out for crystalline YIn2Pd2 at its relaxed geometry.

## Properties
**Total moment**: 0.000 μB/atom
**Space group**: C2/m, No. 12

Cell: 4.951 4.959 5.170 Å, 104.63 90.00 119.94°
Element x y z (fractional)
Pd: 0.115 0.230 0.774
Pd: 0.885 0.770 0.226
Y: 0.500 0.000 0.000
In: 0.231 0.462 0.327
In: 0.769 0.538 0.673

***

<two>
A plane-wave DFT calculation with PBE was carried out for crystalline YIn2Pd2 at its relaxed geometry.

## Properties
**Total moment**: 0.000 μB/atom
**Space group**: I4/mmm, No. 139

Cell: 4.189 4.189 6.916 Å, 72.37 72.37 90.00°
Element x y z (fractional)
Pd: 0.395 0.395 0.210
Pd: 0.605 0.605 0.790
In: 0.750 0.250 0.500
In: 0.250 0.750 0.500
Y: 0.000 0.000 0.000

***

<three>
A plane-wave DFT calculation with PBE was carried out for crystalline YIn2Pd2 at its relaxed geometry.

## Properties
**Total moment**: 0.065 μB/atom
**Space group**: P4/mbm, No. 127

Cell: 8.132 8.132 3.085 Å, 90.00 90.00 90.00°
Each line ends with the local moment (μB).
Element x y z (fractional)
In: 0.872 0.628 0.000  0.00
In: 0.372 0.872 0.000  0.00
In: 0.128 0.372 0.000  0.00
In: 0.628 0.128 0.000  0.00
Pd: 0.171 0.671 0.500  0.00
Pd: 0.329 0.171 0.500  0.00
Pd: 0.671 0.829 0.500  0.00
Pd: 0.829 0.329 0.500  0.00
Y: 0.000 0.000 0.000  0.21
Y: 0.500 0.500 0.000  0.21

***

<four>
A plane-wave DFT calculation with PBE was carried out for crystalline YIn2Pd2 at its relaxed geometry.

## Properties
**Total moment**: 0.000 μB/atom
**Space group**: P2_1/m, No. 11

Cell: 4.725 5.351 8.980 Å, 106.29 90.00 90.00°
Element x y z (fractional)
Y: 0.250 0.796 0.237
Y: 0.750 0.204 0.763
Pd: 0.250 0.324 0.962
Pd: 0.750 0.100 0.406
Pd: 0.250 0.900 0.594
Pd: 0.750 0.676 0.038
In: 0.750 0.217 0.126
In: 0.750 0.635 0.463
In: 0.250 0.365 0.537
In: 0.250 0.783 0.874

***

Most stable: <four> (next structure +0.030 eV/atom)

***

<one>
A plane-wave DFT calculation with PBE was carried out for crystalline YIn3Pd at its relaxed geometry.

## Properties
**Total moment**: 0.000 μB/atom
**Space group**: Pm-3m, No. 221

Cell: 5.122 5.122 5.122 Å, 90.00 90.00 90.00°
Element x y z (fractional)
In: 0.000 0.500 0.000
In: 0.500 0.000 0.000
In: 0.000 0.000 0.500
Y: 0.500 0.500 0.500
Pd: 0.000 0.000 0.000

***

<two>
A plane-wave DFT calculation with PBE was carried out for crystalline YIn3Pd at its relaxed geometry.

## Properties
**Total moment**: 0.061 μB/atom
**Space group**: Pm-3m, No. 221

Cell: 5.760 5.760 5.760 Å, 90.00 90.00 90.00°
Each line ends with the local moment (μB).
Element x y z (fractional)
Y: 0.000 0.000 0.000  0.14
Pd: 0.500 0.500 0.500  -0.02
In: 0.000 0.000 0.500  0.01
In: 0.000 0.500 0.000  0.03
In: 0.500 0.000 0.000  0.04

***

Most stable: <one> (next structure +1.091 eV/atom)

***

<one>
A plane-wave DFT calculation with PBE was carried out for crystalline YIn3Pd at its relaxed geometry.

## Properties
**Total moment**: 0.000 μB/atom
**Space group**: Pnma, No. 62

Cell: 4.416 9.039 11.707 Å, 90.00 90.00 90.00°
Element x y z (fractional)
In: 0.250 0.855 0.209
In: 0.250 0.355 0.291
In: 0.250 0.064 0.411
In: 0.750 0.145 0.791
In: 0.750 0.436 0.911
In: 0.250 0.564 0.089
In: 0.750 0.936 0.589
In: 0.750 0.597 0.316
In: 0.750 0.645 0.709
In: 0.250 0.403 0.684
In: 0.750 0.097 0.184
In: 0.250 0.903 0.816
Pd: 0.250 0.610 0.857
Pd: 0.750 0.390 0.143
Pd: 0.250 0.110 0.643
Pd: 0.750 0.890 0.357
Y: 0.750 0.804 0.006
Y: 0.250 0.196 0.994
Y: 0.750 0.304 0.494
Y: 0.250 0.696 0.506

***

<two>
A plane-wave DFT calculation with PBE was carried out for crystalline YIn3Pd at its relaxed geometry.

## Properties
**Total moment**: 0.000 μB/atom
**Space group**: P2_1/c, No. 14

Cell: 6.508 10.207 7.640 Å, 111.91 90.00 90.00°
Element x y z (fractional)
In: 0.268 0.030 0.547
In: 0.504 0.646 0.252
In: 0.301 0.872 0.108
In: 0.004 0.854 0.748
In: 0.768 0.470 0.453
In: 0.801 0.628 0.892
In: 0.732 0.970 0.453
In: 0.996 0.146 0.252
In: 0.199 0.372 0.108
In: 0.232 0.530 0.547
In: 0.699 0.128 0.892
In: 0.496 0.354 0.748
Pd: 0.234 0.580 0.937
Pd: 0.766 0.420 0.063
Pd: 0.734 0.920 0.063
Pd: 0.266 0.080 0.937
Y: 0.010 0.694 0.299
Y: 0.990 0.306 0.701
Y: 0.510 0.806 0.701
Y: 0.490 0.194 0.299

***

Most stable: <one> (next structure +0.053 eV/atom)

***

<one>
A plane-wave DFT calculation with PBE was carried out for crystalline Y6In2Pd at its relaxed geometry.

## Properties
**Total moment**: 0.245 μB/atom
**Space group**: P-62m, No. 189

Cell: 3.827 8.759 8.757 Å, 120.01 90.00 90.00°
Each line ends with the local moment (μB).
Element x y z (fractional)
In: 0.000 0.333 0.666  -0.01
In: 0.000 0.667 0.334  -0.01
Pd: 0.500 0.000 0.000  0.03
Y: 0.500 0.602 0.000  0.18
Y: 0.500 0.398 0.398  0.18
Y: 0.000 0.250 0.000  0.16
Y: 0.500 0.000 0.602  0.18
Y: 0.000 0.751 0.751  0.16
Y: 0.000 0.000 0.249  0.16

***

<two>
A plane-wave DFT calculation with PBE was carried out for crystalline Y6In2Pd at its relaxed geometry.

## Properties
**Total moment**: 0.000 μB/atom
**Space group**: P2_1/c, No. 14

Cell: 6.019 8.747 9.903 Å, 90.00 87.47 90.00°
Element x y z (fractional)
Pd: 0.500 0.500 0.000
Pd: 0.000 0.000 0.500
In: 0.077 0.626 0.250
In: 0.577 0.874 0.750
In: 0.423 0.126 0.250
In: 0.923 0.374 0.750
Y: 0.098 0.028 0.773
Y: 0.090 0.326 0.060
Y: 0.910 0.674 0.940
Y: 0.401 0.821 0.059
Y: 0.590 0.174 0.560
Y: 0.599 0.179 0.941
Y: 0.901 0.679 0.559
Y: 0.099 0.321 0.441
Y: 0.598 0.472 0.273
Y: 0.410 0.826 0.440
Y: 0.402 0.528 0.727
Y: 0.902 0.972 0.227

***

Most stable: <one> (next structure +0.098 eV/atom)